# 1
Entry from Alexandria via LeMat-Bulk: an optimized crystal structure of YAl2Au2 (PBE).

Output
Formation enthalpy at 0 K (eV per atom): -0.419
Calculated density (g/cm3): 9.435
D(E_F) (states/eV per cell): 5.8
Calculated total energy (eV per atom): -4.520

a b c (Å): 7.874 7.874 3.047
angles (deg): 90.00 90.00 90.00
Each line ends with the local moment (μB).
Positions (direct):
Y1 0.000 0.000 0.000  0.23
Y2 0.500 0.500 0.000  0.23
Au1 0.168 0.668 0.500  0.00
Au2 0.668 0.832 0.500  0.00
Au3 0.832 0.332 0.500  0.00
Au4 0.332 0.168 0.500  0.00
Al1 0.373 0.873 0.000  0.00
Al2 0.873 0.627 0.000  0.00
Al3 0.627 0.127 0.000  0.00
Al4 0.127 0.373 0.000  0.00

---

# 2
Entry from Alexandria via LeMat-Bulk: an optimized crystal structure of YAl2Au (PBE).

Output
Formation enthalpy at 0 K (eV per atom): -0.264
Calculated density (g/cm3): 6.637
D(E_F) (states/eV per cell): 3.7
Calculated total energy (eV per atom): -4.571

a b c (Å): 5.728 5.728 5.728
angles (deg): 137.43 137.43 61.78
Positions (direct):
Y1 0.750 0.250 0.500
Au1 0.250 0.750 0.500
Al1 0.000 0.000 0.000
Al2 0.500 0.500 0.000

---

# 3
Entry from Alexandria via LeMat-Bulk: an optimized crystal structure of YAl2Au (PBE).

Output
Formation enthalpy at 0 K (eV per atom): -0.313
Calculated density (g/cm3): 7.265
D(E_F) (states/eV per cell): 0.5
Calculated total energy (eV per atom): -4.619

a b c (Å): 4.789 4.789 4.789
angles (deg): 60.00 60.00 60.00
Positions (direct):
Y1 0.000 0.000 0.000
Au1 0.500 0.500 0.500
Al1 0.250 0.250 0.250
Al2 0.750 0.750 0.750

---

# 4
Entry from Alexandria via LeMat-Bulk: an optimized crystal structure of YAl2Au (PBE).

Output
Formation enthalpy at 0 K (eV per atom): -0.419
Calculated density (g/cm3): 7.028
D(E_F) (states/eV per cell): 1.2
Calculated total energy (eV per atom): -4.725

a b c (Å): 4.843 4.843 4.843
angles (deg): 60.00 60.00 60.00
Positions (direct):
Y1 0.750 0.750 0.750
Au1 0.500 0.500 0.500
Al1 0.000 0.000 0.000
Al2 0.250 0.250 0.250

---

# 5
Entry from Alexandria via LeMat-Bulk: an optimized crystal structure of YAl2Au (PBE).

Output
Formation enthalpy at 0 K (eV per atom): -0.215
Calculated density (g/cm3): 5.934
D(E_F) (states/eV per cell): 3.1
Calculated total energy (eV per atom): -4.522

a b c (Å): 4.589 4.589 9.598
angles (deg): 76.17 76.17 90.00
Positions (direct):
Y1 0.500 0.500 0.000
Y2 0.250 0.750 0.500
Au1 0.000 0.000 0.000
Au2 0.750 0.250 0.500
Al1 0.756 0.125 0.250
Al2 0.994 0.625 0.250
Al3 0.375 0.244 0.750
Al4 0.875 0.006 0.750

---

# 6
Entry from Alexandria via LeMat-Bulk: an optimized crystal structure of YAl2Au6 (PBE).

Output
Formation enthalpy at 0 K (eV per atom): -0.390
Calculated density (g/cm3): 11.876
D(E_F) (states/eV per cell): 4.1
Calculated total energy (eV per atom): -4.125

a b c (Å): 4.326 7.095 7.095
angles (deg): 63.44 74.73 74.73
Positions (direct):
Y1 0.000 0.000 0.000
Al1 0.300 0.701 0.701
Al2 0.700 0.299 0.299
Au1 0.175 0.129 0.525
Au2 0.825 0.871 0.475
Au3 0.825 0.475 0.871
Au4 0.500 0.708 0.292
Au5 0.500 0.292 0.708
Au6 0.175 0.525 0.129

---

# 7
Entry from Alexandria via LeMat-Bulk: an optimized crystal structure of Y2Al2Au (PBE).

Output
Formation enthalpy at 0 K (eV per atom): -0.610
Calculated density (g/cm3): 6.385
D(E_F) (states/eV per cell): 10.8
Calculated total energy (eV per atom): -5.348

a b c (Å): 6.898 6.898 4.686
angles (deg): 90.00 90.00 90.00
Positions (direct):
Y1 0.170 0.670 0.500
Y2 0.670 0.830 0.500
Y3 0.830 0.330 0.500
Y4 0.330 0.170 0.500
Au1 0.000 0.000 0.000
Au2 0.500 0.500 0.000
Al1 0.365 0.865 0.000
Al2 0.865 0.635 0.000
Al3 0.635 0.135 0.000
Al4 0.135 0.365 0.000

---

# 8
Entry from Alexandria via LeMat-Bulk: an optimized crystal structure of Y3Al2Au7 (PBE).

Output
Formation enthalpy at 0 K (eV per atom): -0.624
Calculated density (g/cm3): 11.195
D(E_F) (states/eV per cell): 4.0
Calculated total energy (eV per atom): -4.775

a b c (Å): 4.239 4.239 14.344
angles (deg): 98.50 98.50 90.00
Positions (direct):
Y1 0.326 0.326 0.652
Y2 0.674 0.674 0.348
Y3 0.500 0.500 0.000
Al1 0.131 0.131 0.262
Al2 0.869 0.869 0.738
Au1 0.000 0.000 0.000
Au2 0.920 0.420 0.840
Au3 0.420 0.920 0.840
Au4 0.080 0.580 0.160
Au5 0.580 0.080 0.160
Au6 0.220 0.220 0.440
Au7 0.780 0.780 0.560

---

# 9
Entry from Alexandria via LeMat-Bulk: an optimized crystal structure of Y2AlAu (PBE).

Output
Formation enthalpy at 0 K (eV per atom): -0.448
Calculated density (g/cm3): 7.095
D(E_F) (states/eV per cell): 3.9
Calculated total energy (eV per atom): -5.435

a b c (Å): 5.917 5.917 5.917
angles (deg): 137.34 137.34 61.91
Positions (direct):
Y1 0.000 0.000 0.000
Y2 0.250 0.750 0.500
Au1 0.750 0.250 0.500
Al1 0.500 0.500 0.000

---

# 10
Entry from Alexandria via LeMat-Bulk: an optimized crystal structure of Y2AlAu (PBE).

Output
Formation enthalpy at 0 K (eV per atom): -0.402
Calculated density (g/cm3): 6.921
D(E_F) (states/eV per cell): 4.1
Calculated total energy (eV per atom): -5.389

a b c (Å): 3.423 3.423 8.228
angles (deg): 90.00 90.00 90.00
Positions (direct):
Y1 0.000 0.000 0.950
Y2 0.500 0.500 0.295
Au1 0.500 0.500 0.711
Al1 0.000 0.000 0.545

---

# 11
Entry from Alexandria via LeMat-Bulk: an optimized crystal structure of Y2AlAu (PBE).

Output
Formation enthalpy at 0 K (eV per atom): -0.154
Calculated density (g/cm3): 7.326
D(E_F) (states/eV per cell): 5.0
Calculated total energy (eV per atom): -5.141

a b c (Å): 5.050 5.050 5.050
angles (deg): 60.00 60.00 60.00
Each line ends with the local moment (μB).
Positions (direct):
Y1 0.000 0.000 0.000  0.26
Y2 0.250 0.250 0.250  0.41
Au1 0.750 0.750 0.750  0.04
Al1 0.500 0.500 0.500  0.01

---

# 12
Entry from Alexandria via LeMat-Bulk: an optimized crystal structure of Y2Al5Au4 (PBE).

Output
Formation enthalpy at 0 K (eV per atom): -0.589
Calculated density (g/cm3): 8.336
D(E_F) (states/eV per cell): 4.1
Calculated total energy (eV per atom): -4.658

a b c (Å): 5.431 5.364 9.139
angles (deg): 81.35 72.71 59.58
Positions (direct):
Y1 0.896 0.000 0.208
Y2 0.104 0.000 0.792
Al1 0.500 0.000 0.000
Al2 0.000 0.500 0.000
Al3 0.500 0.500 0.000
Al4 0.250 0.500 0.500
Al5 0.750 0.500 0.500
Au1 0.469 0.326 0.736
Au2 0.531 0.674 0.264
Au3 0.205 0.326 0.264
Au4 0.795 0.674 0.736